(1)
{
  "formula": "ScHg2Ru",
  "functional": "GGA-PBE",
  "state": "optimized geometry",
  "lattice": [[4.148, 0.000, 0.000], [0.000, 4.148, 0.000], [0.000, 0.000, 4.344]],
  "species": ["Sc", "Hg", "Hg", "Ru"],
  "fractional_positions": [[0.000, 0.000, 0.000], [0.000, 0.500, 0.500], [0.500, 0.000, 0.500], [0.500, 0.500, 0.000]],
  "rho_g_cm3": 12.15,
  "e_above_lowest_polymorph_ev_per_atom": 0.057,
  "ef_ev_per_atom": -0.071,
  "dft_energy_ev_per_atom": -4.1233,
  "dos_at_fermi_per_ev_fu": 2.46
}

***

(2)
{
  "formula": "Ba2PdCCl",
  "functional": "GGA-PBE",
  "state": "optimized geometry",
  "lattice": [[5.896, 0.000, 0.000], [0.000, 5.896, 0.000], [0.000, 0.000, 4.218]],
  "species": ["Ba", "Ba", "Pd", "C", "Cl"],
  "fractional_positions": [[0.000, 0.500, 0.000], [0.500, 0.000, 0.000], [0.000, 0.000, 0.500], [0.500, 0.500, 0.500], [0.500, 0.500, 0.000]],
  "rho_g_cm3": 4.85,
  "dft_energy_ev_per_atom": -3.6635,
  "dos_at_fermi_per_ev_fu": 2.96,
  "e_form_raw_ev_per_atom": 0.36
}

***

(3)
{
  "formula": "CsPaTe4Pt",
  "functional": "GGA-PBE",
  "state": "optimized geometry",
  "lattice": [[7.461, 0.000, 0.000], [0.000, 6.290, 0.000], [-2.964, 0.000, 10.252]],
  "species": ["Cs", "Cs", "Pa", "Pa", "Te", "Te", "Te", "Te", "Te", "Te", "Te", "Te", "Pt", "Pt"],
  "fractional_positions": [[0.209, 0.250, 0.046], [0.791, 0.750, 0.954], [0.279, 0.250, 0.553], [0.721, 0.750, 0.447], [0.011, 0.501, 0.687], [0.011, 0.999, 0.687], [0.429, 0.750, 0.613], [0.465, 0.750, 0.172], [0.535, 0.250, 0.828], [0.571, 0.250, 0.387], [0.989, 0.001, 0.313], [0.989, 0.499, 0.313], [0.297, 0.750, 0.360], [0.703, 0.250, 0.640]],
  "rho_g_cm3": 7.38,
  "dft_energy_ev_per_atom": -4.8606,
  "dos_at_fermi_per_ev_fu": 4.96,
  "e_form_raw_ev_per_atom": -0.72
}